[1]
BaNa2H6Ir | Alexandria via LeMat-Bulk | PBE | relaxed; electronic total energy = -37.43 eV/cell; space-group type = P-3m1; DOS(E_F) = 1.96 states/eV/cell
1.0
5.227 0.000 0.000
-2.613 4.526 0.000
0.000 0.000 6.806
Ba Na H Ir
1 2 6 1
Direct
0.000 0.000 0.000 Ba
0.333 0.667 0.409 Na
0.667 0.333 0.591 Na
0.149 0.298 0.649 H
0.149 0.851 0.649 H
0.298 0.149 0.351 H
0.702 0.851 0.649 H
0.851 0.149 0.351 H
0.851 0.702 0.351 H
0.000 0.000 0.500 Ir

[2]
BaNa2H8Ir | Alexandria via LeMat-Bulk | PBE | relaxed; electronic total energy = -43.04 eV/cell; space-group type = P-3m1; DOS(E_F) = 9.18 states/eV/cell
1.0
5.053 0.000 0.000
-2.526 4.376 0.000
0.000 0.000 6.935
Ba Na H Ir
1 2 8 1
Direct
0.000 0.000 0.000 Ba
0.333 0.667 0.381 Na
0.667 0.333 0.619 Na
0.155 0.309 0.645 H
0.155 0.845 0.645 H
0.309 0.155 0.355 H
0.333 0.667 0.037 H
0.667 0.333 0.963 H
0.691 0.845 0.645 H
0.845 0.155 0.355 H
0.845 0.691 0.355 H
0.000 0.000 0.500 Ir

[3]
Ba2NaH6Ir | Alexandria via LeMat-Bulk | PBE | relaxed; electronic total energy = -38.71 eV/cell; space-group type = P-3m1; DOS(E_F) = 1.27 states/eV/cell
1.0
5.309 0.000 0.000
-2.654 4.597 0.000
0.000 0.000 8.018
Ba Na H Ir
2 1 6 1
Direct
0.333 0.667 0.306 Ba
0.667 0.333 0.694 Ba
0.000 0.000 0.000 Na
0.151 0.302 0.620 H
0.151 0.849 0.620 H
0.302 0.151 0.380 H
0.698 0.849 0.620 H
0.849 0.151 0.380 H
0.849 0.698 0.380 H
0.000 0.000 0.500 Ir

[4]
BaNiH8Ir2 | Alexandria via LeMat-Bulk | PBE | relaxed; electronic total energy = -54.09 eV/cell; space-group type = R-3; DOS(E_F) = 3.81 states/eV/cell
1.0
2.348 1.355 6.275
-2.348 1.355 6.275
0.000 -2.711 6.275
Ba Ni H Ir
1 1 8 2
Direct
0.000 0.000 0.000 Ba
0.500 0.500 0.500 Ni
0.151 0.439 0.758 H
0.242 0.849 0.561 H
0.291 0.291 0.291 H
0.439 0.758 0.151 H
0.561 0.242 0.849 H
0.709 0.709 0.709 H
0.758 0.151 0.439 H
0.849 0.561 0.242 H
0.204 0.204 0.204 Ir
0.796 0.796 0.796 Ir

Q: Which formula does entry 4 have?
A: BaNiH8Ir2

Q: Among the records above, which one has the lowest electronic total energy?
A: BaNiH8Ir2

Q: The lowest DOS(E_F) belongs to which entry?
A: Ba2NaH6Ir

Q: Among the records above, which one has the highest DOS(E_F)?
A: BaNa2H8Ir